P | Here is a PBEsol-optimized structure of LiVF5 from Alexandria via LeMat-Bulk. Energies are from meta-GGA SCAN.

Values from the calculation:
Magnetization ... 4.00 Bohr magnetons per cell
Calculated density ... 2.92 Mg/m³

Structure (POSCAR):
```
LiVF5
1.0
-1.5135 -3.8147 -4.2618
-4.4582 -2.7708 4.5055
-6.0347 5.3735 -2.6666
Li V F
4 4 20
Cartesian
-7.6931 1.5754 -5.0990
-5.2057 -1.2037 -2.7525
-6.8007 -0.0083 0.3296
-4.3133 -2.7874 2.6761
-2.7901 1.1420 -1.3336
-7.6356 2.1900 -1.8321
-4.3708 -3.4020 -0.5908
-9.2163 -2.3540 -1.0892
-3.9862 2.5436 -2.0035
-1.3988 0.1515 -0.7049
-3.7278 -0.1951 -2.0512
-5.7161 0.0660 -4.0881
-6.9618 2.4295 -3.4903
-3.3926 -3.0692 -2.0885
-3.7378 1.1463 0.2036
-6.7625 3.5846 -1.1430
-6.4606 0.8953 -1.3268
-3.1613 -2.1306 0.2864
-8.8451 0.9186 -2.7093
-5.5458 -2.1073 -1.0961
-5.2439 -4.7966 -1.2799
-8.2686 -2.3583 -2.6264
-8.6138 1.8572 -0.3343
-5.0446 -3.6415 1.0674
-6.2903 -1.2780 1.6653
-8.2786 -1.0169 -0.3717
-10.6076 -1.3635 -1.7180
-8.0202 -3.7556 -0.4193
```


Q | Here is a PBEsol-optimized structure of LiVF5 from Alexandria via LeMat-Bulk. Energies are from meta-GGA SCAN.

Values from the calculation:
Magnetization ... 4.00 Bohr magnetons per cell
Calculated density ... 3.08 Mg/m³

Structure (POSCAR):
```
LiVF5
1.0
-0.3081 -6.0119 0.3717
6.0798 -0.2251 1.3997
-1.9388 0.6263 8.5222
Li V F
4 4 20
Cartesian
4.1808 -3.0917 2.4024
0.8524 0.1698 3.4620
3.0574 -5.7833 6.8493
-0.2710 -2.5218 7.9089
0.0133 -0.4770 0.0390
1.9301 -3.2825 5.1841
-1.0614 -2.2184 4.4271
0.8554 -5.0239 9.5722
-0.0787 -2.2769 0.1521
-0.9430 -4.3828 8.8924
4.6516 -5.1172 1.6621
2.1352 -5.7248 2.7470
-0.1203 -0.1466 1.8262
2.5893 -3.2081 3.4867
5.1519 -2.7742 4.0401
0.8944 -1.7173 4.6065
3.1237 -1.7713 5.5700
1.8389 -5.0826 5.2939
-0.9689 -0.4183 4.3176
0.0715 -3.8158 4.5768
3.7274 -3.9226 5.8687
1.2928 -2.9332 6.8548
-1.2167 -2.3114 6.2405
1.4928 -5.3730 7.9010
4.3095 0.0175 8.1479
-0.0298 -0.5227 8.8131
4.1382 -1.2043 1.2544
0.9487 -3.2240 9.4594
```


Last place for stability: Q


P | Here is a PBEsol-optimized structure of LiVF5 from Alexandria via LeMat-Bulk. Energies are from meta-GGA SCAN.

Values from the calculation:
Magnetization ... 4.00 Bohr magnetons per cell
Calculated density ... 2.55 Mg/m³

Structure (POSCAR):
```
LiVF5
1.0
5.8277 -0.3484 0.0000
-1.2429 5.7043 0.0000
0.0000 0.0000 12.1263
Li V F
4 4 20
Cartesian
-0.1321 4.7534 0.0000
1.1816 3.6288 6.0631
3.4032 1.7271 6.0631
4.7169 0.6025 0.0000
0.7845 0.9165 7.0764
1.5079 1.7615 1.0133
3.0769 3.5944 11.1130
3.8003 4.4394 5.0499
-0.3013 4.8982 6.0631
4.4951 5.2511 3.7048
0.4357 2.6168 7.5750
-0.2259 1.8439 1.5118
0.8331 0.9732 11.5737
1.3508 3.4840 0.0000
1.4593 1.7048 5.5106
2.5183 0.8341 7.5750
1.8567 0.0611 1.5118
2.3821 2.7827 9.7679
2.2027 2.5732 2.3584
2.7282 5.2947 10.6144
2.0665 4.5218 4.5513
3.1255 3.6511 6.6157
3.2340 1.8719 0.0000
3.7518 4.3827 0.5526
4.8107 3.5120 10.6144
4.1491 2.7391 4.5513
0.0897 0.1048 8.4215
4.8861 0.4577 6.0631
```


Q | Here is a PBEsol-optimized structure of LiVF5 from Alexandria via LeMat-Bulk. Energies are from meta-GGA SCAN.

Values from the calculation:
Magnetization ... 4.00 Bohr magnetons per cell
Calculated density ... 2.86 Mg/m³

Structure (POSCAR):
```
LiVF5
1.0
4.9845 0.0000 0.0000
0.0000 6.3239 0.0000
0.0000 0.0000 11.2448
Li V F
4 4 20
Cartesian
0.4182 3.7230 7.9568
2.9105 5.7629 3.2880
2.0740 2.6010 2.3344
4.5663 0.5610 8.9104
1.7249 0.6169 6.5386
4.2172 2.5451 4.7061
0.7673 5.7071 0.9163
3.2596 3.7788 10.3285
3.1886 0.4455 7.5430
0.9449 5.5304 7.3765
0.9018 1.7044 7.7655
2.6135 2.1415 5.7571
2.2200 5.9667 5.1220
4.7123 3.5192 6.1228
0.1212 1.0205 5.4876
3.3941 1.4576 3.4793
3.4372 3.9555 3.8682
0.6964 2.7165 3.7018
4.2881 5.8785 1.9206
1.5473 0.7935 1.7542
1.5904 4.6196 2.1431
4.8633 4.1824 0.1348
0.2722 0.3572 10.7444
2.7645 2.8048 0.5004
2.3710 5.3035 11.1100
4.0827 4.8663 9.1017
4.0396 2.3685 9.4906
1.7959 3.6074 9.3241
```


R | Here is a PBEsol-optimized structure of LiVF5 from Alexandria via LeMat-Bulk. Energies are from meta-GGA SCAN.

Values from the calculation:
Magnetization ... 4.00 Bohr magnetons per cell
Calculated density ... 2.74 Mg/m³

Structure (POSCAR):
```
LiVF5
1.0
-1.4897 2.6459 -4.2040
-9.2323 -2.2856 1.8330
-0.6991 6.1035 4.0892
Li V F
4 4 20
Cartesian
-7.2948 6.5481 1.9082
-1.6251 3.6733 1.2884
-9.7960 2.7906 0.4297
-4.1264 -0.0842 -0.1901
-2.5557 2.7577 -2.1567
-6.5249 1.1473 1.4349
-4.8962 5.3166 0.2832
-8.8655 3.7062 3.8748
-4.1174 2.9002 -3.0514
-3.4012 1.6281 -1.0302
-5.3492 -0.2545 1.6032
-6.0325 0.9592 -0.3251
-2.2575 7.8800 0.9615
-5.8012 2.5546 2.0642
-1.6031 3.3036 -0.6835
-2.2864 4.5172 -2.6118
-7.4140 0.3981 2.8162
-8.1302 1.6701 0.7950
-3.2909 4.7937 0.9231
-4.0071 6.0658 -1.0981
-9.1348 1.9467 4.3300
-9.8181 3.1603 2.4017
-5.6199 3.9093 -0.3461
-9.1636 -1.4161 0.7566
-5.3886 5.5047 2.0432
-6.0719 6.7183 0.1149
-7.3037 3.5637 4.7695
-8.0200 4.8358 2.7483
```


Last place for stability: R


P | Here is a PBEsol-optimized structure of LiV2F7 from Alexandria via LeMat-Bulk. Energies are from meta-GGA SCAN.

Values from the calculation:
Magnetization ... 8.00 Bohr magnetons per cell
Calculated density ... 3.01 Mg/m³

Structure (POSCAR):
```
LiV2F7
1.0
6.9773 0.0000 0.0000
3.4887 6.3973 0.0415
3.4887 2.2189 6.0003
Li V F
2 4 14
Cartesian
6.9773 4.3081 3.0209
0.0000 0.0000 0.0000
1.7443 1.1095 3.0002
1.7443 3.1987 0.0207
3.4887 0.0000 0.0000
3.4887 4.3081 3.0209
8.6854 8.1830 5.7380
10.9004 6.1532 2.5777
10.9004 4.5201 4.9066
5.2693 3.8749 2.7171
5.8860 6.4622 4.5313
6.5429 4.0640 5.5571
6.5429 6.6093 1.9272
7.4118 2.0069 4.1146
7.4118 4.5522 0.4847
8.0687 2.1541 1.5104
8.6854 4.7414 3.3247
3.0542 4.0961 1.1352
3.0542 2.4630 3.4641
5.2693 0.4332 0.3038
```


Q | Here is a PBEsol-optimized structure of LiV2F7 from Alexandria via LeMat-Bulk. Energies are from meta-GGA SCAN.

Values from the calculation:
Magnetization ... 8.00 Bohr magnetons per cell
Calculated density ... 3.49 Mg/m³

Structure (POSCAR):
```
LiV2F7
1.0
5.1151 0.0000 -0.0283
0.0000 7.1330 0.0000
-1.9543 -3.5665 6.3260
Li V F
2 4 14
Cartesian
3.8364 3.4906 -0.0212
1.2788 3.6424 -0.0071
0.0549 -2.3029 4.2119
2.6124 2.3029 4.1977
3.1059 5.8694 2.0858
0.5484 1.2636 2.1000
0.5697 -1.2606 5.7160
3.1273 1.2606 5.7019
1.1193 3.3202 4.8255
-1.4382 3.8128 4.8396
-1.1824 -0.8148 3.8686
1.3752 0.8148 3.8545
1.5804 -1.7833 3.1489
-0.9772 1.7833 3.1630
1.7856 2.7517 2.4433
4.3432 4.3813 2.4291
2.0415 0.2463 1.4723
4.5990 -0.2463 1.4581
2.5911 4.8271 0.5817
0.0335 2.3059 0.5958
```


R | Here is a PBEsol-optimized structure of LiV2F7 from Alexandria via LeMat-Bulk. Energies are from meta-GGA SCAN.

Values from the calculation:
Magnetization ... 8.00 Bohr magnetons per cell
Calculated density ... 2.95 Mg/m³

Structure (POSCAR):
```
LiV2F7
1.0
-4.6445 -2.4133 0.6602
2.4423 -5.9849 1.7695
-1.0446 -1.0148 8.3538
Li V F
2 4 14
Cartesian
-2.4999 -8.7144 8.5035
-0.7469 -0.6986 2.2800
-1.4435 -3.2359 7.5202
-3.1899 -5.7207 7.0629
-0.0569 -3.6924 3.7205
-1.8032 -6.1772 3.2633
-2.2491 -7.5294 9.9414
-4.1906 -5.4936 8.6682
-1.4172 -5.1542 7.6426
-2.8783 -7.5373 7.1312
-3.2757 -3.7319 6.8243
-1.5061 -1.5744 6.7705
-0.4457 -3.6791 5.6978
-2.8011 -5.7340 5.0856
-1.7407 -7.8387 4.0130
0.0290 -5.6812 3.9591
-0.3684 -1.8758 3.6523
-1.8295 -4.2589 3.1408
0.9438 -3.9195 2.1152
-0.9976 -1.8837 0.8420
```


Last place for stability: R